First-principles (PBE-GGA) data for a geometry-optimized MnC2 structure, as listed in Alexandria via LeMat-Bulk.

Structure (CIF):
```
data_MnC2
_chemical_formula_sum 'Mn2 C4'
_cell_length_a 2.604
_cell_length_b 2.604
_cell_length_c 6.155
_cell_angle_alpha 90.00
_cell_angle_beta 90.00
_cell_angle_gamma 90.00
_space_group_name_H-M_alt 'P 1'
_space_group_IT_number 1
loop_
_space_group_symop_operation_xyz
'x,y,z'
loop_
_atom_site_label
_atom_site_type_symbol
_atom_site_fract_x
_atom_site_fract_y
_atom_site_fract_z
_atom_site_occupancy
C1 C 0.000 0.000 0.000 1
C2 C 0.000 0.500 0.593 1
C3 C 0.500 0.000 0.407 1
C4 C 0.500 0.500 0.000 1
Mn1 Mn 0.000 0.500 0.265 1
Mn2 Mn 0.500 0.000 0.735 1
```

Computed properties:
ΔE_f: 3.14 eV per formula unit
electronic total energy: -48.9 eV/cell
space-group type: P4/nmm, No. 129
total magnetic moment: 0.37 μB per formula unit
E above lowest polymorph: 542.2 meV per atom



First-principles (PBE-GGA) data for a geometry-optimized MnC2 structure, as listed in Alexandria via LeMat-Bulk.

Structure (CIF):
```
data_MnC2
_chemical_formula_sum 'Mn2 C4'
_cell_length_a 4.114
_cell_length_b 4.114
_cell_length_c 4.114
_cell_angle_alpha 60.00
_cell_angle_beta 60.00
_cell_angle_gamma 60.00
_space_group_name_H-M_alt 'P 1'
_space_group_IT_number 1
loop_
_space_group_symop_operation_xyz
'x,y,z'
loop_
_atom_site_label
_atom_site_type_symbol
_atom_site_fract_x
_atom_site_fract_y
_atom_site_fract_z
_atom_site_occupancy
Mn1 Mn 0.750 0.750 0.750 1
C1 C 0.125 0.125 0.625 1
Mn2 Mn 0.500 0.500 0.500 1
C2 C 0.625 0.125 0.125 1
C3 C 0.125 0.625 0.125 1
C4 C 0.125 0.125 0.125 1
```

Computed properties:
ΔE_f: 7.47 eV per formula unit
electronic total energy: -40.3 eV/cell
space-group type: Fd-3m, No. 227
total magnetic moment: 2.74 μB per formula unit
E above lowest polymorph: 1985.1 meV per atom



First-principles (PBE-GGA) data for a geometry-optimized Mn4C5 structure, as listed in Alexandria via LeMat-Bulk.

Structure (CIF):
```
data_Mn4C5
_chemical_formula_sum 'Mn4 C5'
_cell_length_a 5.738
_cell_length_b 5.738
_cell_length_c 5.738
_cell_angle_alpha 93.00
_cell_angle_beta 93.00
_cell_angle_gamma 153.56
_space_group_name_H-M_alt 'P 1'
_space_group_IT_number 1
loop_
_space_group_symop_operation_xyz
'x,y,z'
loop_
_atom_site_label
_atom_site_type_symbol
_atom_site_fract_x
_atom_site_fract_y
_atom_site_fract_z
_atom_site_occupancy
Mn1 Mn 0.758 0.000 0.758 1
Mn2 Mn 0.000 0.758 0.758 1
C1 C 0.717 0.283 0.000 1
Mn3 Mn 0.242 0.000 0.242 1
C2 C 0.000 0.000 0.000 1
C3 C 0.283 0.283 0.566 1
Mn4 Mn 0.000 0.242 0.242 1
C4 C 0.717 0.717 0.434 1
C5 C 0.283 0.717 0.000 1
```

Computed properties:
ΔE_f: 6.84 eV per formula unit
electronic total energy: -76.0 eV/cell
space-group type: I4/mmm, No. 139
total magnetic moment: 8.74 μB per formula unit
E above lowest polymorph: 0.0 meV per atom



First-principles (PBE-GGA) data for a geometry-optimized MnC2 structure, as listed in Alexandria via LeMat-Bulk.

Structure (CIF):
```
data_MnC2
_chemical_formula_sum 'Mn1 C2'
_cell_length_a 2.648
_cell_length_b 2.648
_cell_length_c 3.926
_cell_angle_alpha 90.00
_cell_angle_beta 90.00
_cell_angle_gamma 120.00
_space_group_name_H-M_alt 'P 1'
_space_group_IT_number 1
loop_
_space_group_symop_operation_xyz
'x,y,z'
loop_
_atom_site_label
_atom_site_type_symbol
_atom_site_fract_x
_atom_site_fract_y
_atom_site_fract_z
_atom_site_occupancy
C1 C 0.667 0.333 0.675 1
C2 C 0.667 0.333 0.325 1
Mn1 Mn 0.333 0.667 0.000 1
```

Computed properties:
ΔE_f: 1.62 eV per formula unit
electronic total energy: -26.0 eV/cell
space-group type: P-6m2, No. 187
total magnetic moment: 0.00 μB per formula unit
E above lowest polymorph: 32.9 meV per atom



First-principles (PBE-GGA) data for a geometry-optimized MnC structure, as listed in Alexandria via LeMat-Bulk.

Structure (CIF):
```
data_MnC
_chemical_formula_sum 'Mn3 C3'
_cell_length_a 5.033
_cell_length_b 5.033
_cell_length_c 4.553
_cell_angle_alpha 63.13
_cell_angle_beta 63.13
_cell_angle_gamma 30.16
_space_group_name_H-M_alt 'P 1'
_space_group_IT_number 1
loop_
_space_group_symop_operation_xyz
'x,y,z'
loop_
_atom_site_label
_atom_site_type_symbol
_atom_site_fract_x
_atom_site_fract_y
_atom_site_fract_z
_atom_site_occupancy
C1 C 0.556 0.556 0.434 1
C2 C 0.700 0.700 0.757 1
Mn1 Mn 0.056 0.056 0.089 1
Mn2 Mn 0.213 0.213 0.430 1
Mn3 Mn 0.898 0.898 0.745 1
C3 C 0.411 0.411 0.046 1
```

Computed properties:
ΔE_f: 0.70 eV per formula unit
electronic total energy: -53.1 eV/cell
space-group type: Imm2, No. 44
total magnetic moment: 0.48 μB per formula unit



First-principles (PBE-GGA) data for a geometry-optimized MnC7 structure, as listed in Alexandria via LeMat-Bulk.

Structure (CIF):
```
data_MnC7
_chemical_formula_sum 'Mn1 C7'
_cell_length_a 4.352
_cell_length_b 4.352
_cell_length_c 4.352
_cell_angle_alpha 60.00
_cell_angle_beta 60.00
_cell_angle_gamma 60.00
_space_group_name_H-M_alt 'P 1'
_space_group_IT_number 1
loop_
_space_group_symop_operation_xyz
'x,y,z'
loop_
_atom_site_label
_atom_site_type_symbol
_atom_site_fract_x
_atom_site_fract_y
_atom_site_fract_z
_atom_site_occupancy
C1 C 0.000 0.000 0.500 1
C2 C 0.000 0.500 0.000 1
C3 C 0.500 0.000 0.500 1
C4 C 0.000 0.500 0.500 1
C5 C 0.500 0.500 0.000 1
Mn1 Mn 0.000 0.000 0.000 1
C6 C 0.500 0.500 0.500 1
C7 C 0.500 0.000 0.000 1
```

Computed properties:
ΔE_f: 28.29 eV per formula unit
electronic total energy: -45.4 eV/cell
space-group type: Fm-3m, No. 225
total magnetic moment: 1.69 μB per formula unit



First-principles (PBE-GGA) data for a geometry-optimized MnC structure, as listed in Alexandria via LeMat-Bulk.

Structure (CIF):
```
data_MnC
_chemical_formula_sum 'Mn3 C3'
_cell_length_a 3.973
_cell_length_b 3.973
_cell_length_c 3.883
_cell_angle_alpha 90.00
_cell_angle_beta 90.00
_cell_angle_gamma 90.00
_space_group_name_H-M_alt 'P 1'
_space_group_IT_number 1
loop_
_space_group_symop_operation_xyz
'x,y,z'
loop_
_atom_site_label
_atom_site_type_symbol
_atom_site_fract_x
_atom_site_fract_y
_atom_site_fract_z
_atom_site_occupancy
Mn1 Mn 0.000 0.500 0.500 1
Mn2 Mn 0.500 0.000 0.500 1
Mn3 Mn 0.500 0.500 0.000 1
C1 C 0.000 0.500 0.000 1
C2 C 0.500 0.000 0.000 1
C3 C 0.500 0.500 0.500 1
```

Computed properties:
ΔE_f: 1.43 eV per formula unit
electronic total energy: -50.9 eV/cell
space-group type: P4/mmm, No. 123
total magnetic moment: 1.54 μB per formula unit



First-principles (PBE-GGA) data for a geometry-optimized MnC2 structure, as listed in Alexandria via LeMat-Bulk.

Structure (CIF):
```
data_MnC2
_chemical_formula_sum 'Mn4 C8'
_cell_length_a 2.534
_cell_length_b 4.552
_cell_length_c 7.521
_cell_angle_alpha 90.00
_cell_angle_beta 90.00
_cell_angle_gamma 90.00
_space_group_name_H-M_alt 'P 1'
_space_group_IT_number 1
loop_
_space_group_symop_operation_xyz
'x,y,z'
loop_
_atom_site_label
_atom_site_type_symbol
_atom_site_fract_x
_atom_site_fract_y
_atom_site_fract_z
_atom_site_occupancy
Mn1 Mn 0.750 0.257 0.643 1
C1 C 0.250 0.193 0.412 1
C2 C 0.750 0.307 0.912 1
C3 C 0.250 0.645 0.640 1
Mn2 Mn 0.250 0.743 0.357 1
C4 C 0.750 0.855 0.140 1
C5 C 0.750 0.355 0.360 1
C6 C 0.750 0.807 0.588 1
C7 C 0.250 0.693 0.088 1
Mn3 Mn 0.750 0.757 0.857 1
C8 C 0.250 0.145 0.860 1
Mn4 Mn 0.250 0.243 0.143 1
```

Computed properties:
ΔE_f: 2.46 eV per formula unit
electronic total energy: -100.6 eV/cell
space-group type: Pnma, No. 62
total magnetic moment: 0.00 μB per formula unit
E above lowest polymorph: 315.0 meV per atom



First-principles (PBE-GGA) data for a geometry-optimized MnC2 structure, as listed in Alexandria via LeMat-Bulk.

Structure (CIF):
```
data_MnC2
_chemical_formula_sum 'Mn2 C4'
_cell_length_a 3.134
_cell_length_b 4.235
_cell_length_c 5.441
_cell_angle_alpha 90.00
_cell_angle_beta 124.86
_cell_angle_gamma 90.00
_space_group_name_H-M_alt 'P 1'
_space_group_IT_number 1
loop_
_space_group_symop_operation_xyz
'x,y,z'
loop_
_atom_site_label
_atom_site_type_symbol
_atom_site_fract_x
_atom_site_fract_y
_atom_site_fract_z
_atom_site_occupancy
C1 C 0.653 0.147 0.653 1
C2 C 0.653 0.647 0.153 1
C3 C 0.347 0.147 0.347 1
Mn1 Mn 0.000 0.395 0.000 1
C4 C 0.347 0.647 0.847 1
Mn2 Mn 0.000 0.895 0.500 1
```

Computed properties:
ΔE_f: 2.68 eV per formula unit
electronic total energy: -49.9 eV/cell
space-group type: C2, No. 5
total magnetic moment: 0.00 μB per formula unit
E above lowest polymorph: 386.0 meV per atom



First-principles (PBE-GGA) data for a geometry-optimized MnC structure, as listed in Alexandria via LeMat-Bulk.

Structure (CIF):
```
data_MnC
_chemical_formula_sum 'Mn3 C3'
_cell_length_a 3.645
_cell_length_b 3.645
_cell_length_c 5.634
_cell_angle_alpha 71.22
_cell_angle_beta 71.22
_cell_angle_gamma 42.86
_space_group_name_H-M_alt 'P 1'
_space_group_IT_number 1
loop_
_space_group_symop_operation_xyz
'x,y,z'
loop_
_atom_site_label
_atom_site_type_symbol
_atom_site_fract_x
_atom_site_fract_y
_atom_site_fract_z
_atom_site_occupancy
Mn1 Mn 0.368 0.368 0.277 1
C1 C 0.903 0.903 0.002 1
C2 C 0.636 0.636 0.325 1
Mn2 Mn 0.013 0.013 0.616 1
Mn3 Mn 0.200 0.200 0.943 1
C3 C 0.713 0.713 0.670 1
```

Computed properties:
ΔE_f: 0.67 eV per formula unit
electronic total energy: -53.2 eV/cell
space-group type: Cm, No. 8
total magnetic moment: 0.00 μB per formula unit



First-principles (PBE-GGA) data for a geometry-optimized Mn3C structure, as listed in Alexandria via LeMat-Bulk.

Structure (CIF):
```
data_Mn3C
_chemical_formula_sum 'Mn3 C1'
_cell_length_a 2.589
_cell_length_b 2.589
_cell_length_c 6.494
_cell_angle_alpha 90.00
_cell_angle_beta 90.00
_cell_angle_gamma 120.00
_space_group_name_H-M_alt 'P 1'
_space_group_IT_number 1
loop_
_space_group_symop_operation_xyz
'x,y,z'
loop_
_atom_site_label
_atom_site_type_symbol
_atom_site_fract_x
_atom_site_fract_y
_atom_site_fract_z
_atom_site_occupancy
Mn1 Mn 0.000 0.000 0.500 1
Mn2 Mn 0.667 0.333 0.802 1
Mn3 Mn 0.667 0.333 0.198 1
C1 C 0.000 0.000 0.000 1
```

Computed properties:
ΔE_f: 0.13 eV per formula unit
electronic total energy: -36.6 eV/cell
space-group type: P-6m2, No. 187
total magnetic moment: 0.19 μB per formula unit



First-principles (PBE-GGA) data for a geometry-optimized Mn3C structure, as listed in Alexandria via LeMat-Bulk.

Structure (CIF):
```
data_Mn3C
_chemical_formula_sum 'Mn3 C1'
_cell_length_a 2.503
_cell_length_b 2.503
_cell_length_c 5.966
_cell_angle_alpha 90.00
_cell_angle_beta 90.00
_cell_angle_gamma 90.00
_space_group_name_H-M_alt 'P 1'
_space_group_IT_number 1
loop_
_space_group_symop_operation_xyz
'x,y,z'
loop_
_atom_site_label
_atom_site_type_symbol
_atom_site_fract_x
_atom_site_fract_y
_atom_site_fract_z
_atom_site_occupancy
Mn1 Mn 0.000 0.000 0.500 1
Mn2 Mn 0.500 0.500 0.806 1
C1 C 0.000 0.000 0.000 1
Mn3 Mn 0.500 0.500 0.194 1
```

Computed properties:
ΔE_f: 1.02 eV per formula unit
electronic total energy: -35.7 eV/cell
space-group type: P4/mmm, No. 123
total magnetic moment: 0.14 μB per formula unit